The following is a DFT calculation (PBE) of a geometry-optimized LiEr2ZnO5 structure.

Lattice parameters (Å, degrees): 6.7072 6.7072 9.4308 90.00 90.00 151.69
Closest atoms and distances in Å follow each position.
Fractional coordinates of all 18 atoms:
Li  0.2122  0.7878  0.5000  4 O 2.02-2.23
Li  0.7878  0.2122  0.0000  4 O 2.02-2.23
Er  0.1148  0.8852  0.1802  8 O 2.23-2.46
Er  0.1396  0.8604  0.7900  6 O 2.22-2.41
Er  0.8604  0.1396  0.2900  6 O 2.22-2.41
Er  0.8852  0.1148  0.6802  8 O 2.23-2.46
Zn  0.4580  0.5420  0.9657  4 O 1.92-2.13
Zn  0.5420  0.4580  0.4657  4 O 1.92-2.13
O  0.0561  0.9439  0.5687  2 Zn 1.92, 1 Li 2.13
O  0.2856  0.7144  0.1690  3 Er 2.22-2.23, 2 Li 2.29
O  0.3193  0.6807  0.8459  1 Zn 2.13, 2 Li 2.23
O  0.3677  0.6323  0.4988  1 Li 2.02
O  0.4952  0.5048  0.2690  1 Zn 1.95
O  0.5048  0.4952  0.7690  1 Zn 1.95
O  0.6323  0.3677  0.9988  1 Li 2.02
O  0.6807  0.3193  0.3459  1 Zn 2.13, 2 Li 2.23
O  0.7144  0.2856  0.6690  3 Er 2.22-2.23, 2 Li 2.29
O  0.9439  0.0561  0.0687  2 Zn 1.92, 1 Li 2.13

Output
Total magnetic moment = 2.02 μB per cell
V = 201.2 Å³/cell
Symmetry = Cmc2_1 (36)
Formation energy (no corrections) = -2.50 eV/atom
D(E_F) = 7.081 states/eV/cell
Uncorrected energy = -6.621 eV per atom

***

The following is a DFT calculation (PBE) of a geometry-optimized LiEr4Zr4O14 structure.

Lattice parameters (Å, degrees): 3.6298 7.5332 10.6994 90.00 90.96 90.00
Closest atoms and distances in Å follow each position.
Fractional coordinates of all 23 atoms:
Li  0.0000  0.0000  0.0000  4 O 1.88-2.03
Er  0.4934  0.2724  0.0115  6 O 2.18-2.39
Er  0.4934  0.7276  0.0115  6 O 2.18-2.39
Er  0.9687  0.5000  0.2707  4 O 2.15-2.24
Er  0.9802  0.0000  0.7310  6 O 2.22-2.29
Zr  0.4710  0.2603  0.5060  7 O 2.11-2.35
Zr  0.4710  0.7397  0.5060  7 O 2.11-2.35
Zr  0.9457  0.0000  0.2546  4 O 2.03-2.21
Zr  0.9811  0.5000  0.7461  6 O 2.06-2.30
O  0.4598  0.0000  0.3454  2 Zr 2.03-2.09
O  0.4711  0.5000  0.3800  2 Er 2.15-2.17, 2 Zr 2.25
O  0.4732  0.5000  0.6153  4 Zr 2.15-2.30
O  0.4743  0.0000  0.6105  2 Er 2.23, 2 Zr 2.26
O  0.4870  0.5000  0.8635  2 Zr 2.21, 2 Er 2.33
O  0.5117  0.0000  0.0806  2 Li 1.98-2.03, 2 Er 2.18
O  0.9651  0.2342  0.4064  2 Zr 2.11-2.12
O  0.9651  0.7658  0.4064  2 Zr 2.11-2.12
O  0.9749  0.2678  0.6444  1 Zr 2.06, 1 Er 2.22
O  0.9749  0.7322  0.6444  1 Zr 2.06, 1 Er 2.22
O  0.9890  0.1977  0.8930  1 Li 1.88
O  0.9890  0.8023  0.8930  1 Li 1.88
O  0.9935  0.2549  0.1533  1 Zr 2.21, 3 Er 2.24-2.39
O  0.9935  0.7451  0.1533  1 Zr 2.21, 3 Er 2.24-2.39

Output
Total magnetic moment = 1.00 μB per cell
V = 292.5 Å³/cell
Symmetry = Pm (6)
Formation energy (no corrections) = -3.21 eV/atom
D(E_F) = 0.065 states/eV/cell
Distance to the lowest polymorph of the same formula = 0.009 eV per atom
Uncorrected energy = -8.587 eV per atom

***

The following is a DFT calculation (PBE) of a geometry-optimized LiEr4Zr4O14 structure.

Lattice parameters (Å, degrees): 7.1755 3.8931 10.6563 90.00 90.38 90.00
Closest atoms and distances in Å follow each position.
Fractional coordinates of all 23 atoms:
Li  0.0000  0.0000  0.0000  2 O 1.57
Er  0.0000  0.5000  0.0000  2 Li 1.95, 2 O 2.15
Er  0.2552  0.0000  0.7208  6 O 2.18-2.30
Er  0.5000  0.5000  0.0000  6 O 2.23-2.41
Er  0.7448  0.0000  0.2792  6 O 2.18-2.30
Zr  0.0000  0.5000  0.5000  8 O 2.20-2.32
Zr  0.2545  0.0000  0.2570  6 O 2.12-2.35
Zr  0.5000  0.5000  0.5000  8 O 2.19-2.29
Zr  0.7455  0.0000  0.7430  6 O 2.12-2.35
O  0.0230  0.0000  0.3876  3 Zr 2.17-2.29, 1 Er 2.30, 1 O 2.42
O  0.0267  0.0000  0.8542  1 Li 1.57
O  0.2446  0.5000  0.1181  2 Er 2.15-2.23
O  0.2518  0.5000  0.6191  2 Zr 2.19-2.20, 2 Er 2.23
O  0.2526  0.5000  0.3646  4 Zr 2.26-2.32
O  0.4764  0.0000  0.8669  3 Er 2.22-2.41, 1 Zr 2.35
O  0.4788  0.0000  0.3878  3 Zr 2.12-2.29, 1 Er 2.24
O  0.5212  0.0000  0.6122  3 Zr 2.12-2.29, 1 Er 2.24
O  0.5236  0.0000  0.1331  3 Er 2.22-2.41, 1 Zr 2.35
O  0.7474  0.5000  0.6354  4 Zr 2.26-2.32
O  0.7482  0.5000  0.3809  2 Zr 2.19-2.20, 2 Er 2.23
O  0.7554  0.5000  0.8819  2 Er 2.15-2.23
O  0.9733  0.0000  0.1458  1 Li 1.57
O  0.9770  0.0000  0.6124  3 Zr 2.17-2.29, 1 Er 2.30, 1 O 2.42

Output
Total magnetic moment = 0.98 μB per cell
V = 297.7 Å³/cell
Symmetry = P2/m (10)
Formation energy (no corrections) = -2.92 eV/atom
D(E_F) = 1.671 states/eV/cell
Distance to the lowest polymorph of the same formula = 0.294 eV per atom
Uncorrected energy = -8.302 eV per atom

***

The following is a DFT calculation (PBE) of a geometry-optimized LiEr4Zr4O14 structure.

Lattice parameters (Å, degrees): 3.5109 7.6382 11.2108 90.00 90.00 90.00
Closest atoms and distances in Å follow each position.
Fractional coordinates of all 23 atoms:
Li  0.0000  0.0000  0.0000  4 O 1.90-2.11
Er  0.0000  0.0000  0.2997  4 O 2.21-2.29
Er  0.0000  0.5000  0.8329  4 O 2.14-2.28
Er  0.5000  0.2575  0.5447  4 O 2.13-2.33
Er  0.5000  0.7425  0.5447  4 O 2.13-2.33
Zr  0.0000  0.0000  0.7512  6 O 2.06-2.30
Zr  0.0000  0.5000  0.3039  6 O 2.14-2.25
Zr  0.5000  0.2737  0.0696  7 O 2.12-2.30
Zr  0.5000  0.7263  0.0696  7 O 2.12-2.30
O  0.0000  0.2109  0.4348  3 Er 2.17-2.21
O  0.0000  0.2441  0.9661  1 Li 1.90, 2 Zr 2.12
O  0.0000  0.2631  0.2019  3 Zr 2.14-2.30, 1 Er 2.29
O  0.0000  0.2808  0.6943  1 Zr 2.24, 3 Er 2.28-2.43
O  0.0000  0.7192  0.6943  1 Zr 2.24, 3 Er 2.28-2.43
O  0.0000  0.7369  0.2019  3 Zr 2.14-2.30, 1 Er 2.29
O  0.0000  0.7559  0.9661  1 Li 1.90, 2 Zr 2.12
O  0.0000  0.7891  0.4348  3 Er 2.17-2.21
O  0.5000  0.0000  0.1044  2 Li 2.11, 2 Zr 2.13
O  0.5000  0.0000  0.6182  2 Er 2.13, 2 Zr 2.30
O  0.5000  0.0000  0.8477  2 Zr 2.06
O  0.5000  0.5000  0.1785  4 Zr 2.12-2.25
O  0.5000  0.5000  0.4187  2 Zr 2.18, 2 Er 2.33
O  0.5000  0.5000  0.9416  2 Er 2.14, 2 Zr 2.25

Output
Total magnetic moment = 0.14 μB per cell
V = 300.6 Å³/cell
Symmetry = Pmm2 (25)
Formation energy (no corrections) = -3.20 eV/atom
D(E_F) = 1.148 states/eV/cell
Distance to the lowest polymorph of the same formula = 0.019 eV per atom
Uncorrected energy = -8.577 eV per atom